Density functional theory data (PBE-GGA) for a relaxed structure of NaSr12Ca2.

a b c (Å): 7.668 7.668 29.107
angles (deg): 90.00 90.00 90.00
Atoms (fractional coordinates):
1 Sr 0.000 0.000 0.333
2 Sr 0.322 0.178 0.563
3 Sr 0.000 0.000 0.200
4 Sr 0.178 0.322 0.437
5 Sr 0.755 0.255 0.090
6 Sr 0.000 0.000 0.667
7 Sr 0.822 0.678 0.437
8 Sr 0.500 0.500 0.333
9 Sr 0.822 0.322 0.563
10 Sr 0.678 0.822 0.563
11 Ca 0.500 0.000 0.270
12 Sr 0.178 0.678 0.563
13 Sr 0.000 0.000 0.800
14 Sr 0.745 0.245 0.910
15 Sr 0.755 0.745 0.910
16 Sr 0.245 0.745 0.090
17 Sr 0.255 0.245 0.090
18 Ca 0.500 0.000 0.730
19 Sr 0.745 0.755 0.090
20 Sr 0.255 0.755 0.910
21 Sr 0.678 0.178 0.437
22 Sr 0.245 0.255 0.910
23 Sr 0.500 0.500 0.200
24 Na 0.500 0.000 0.000
25 Sr 0.322 0.822 0.437
26 Ca 0.000 0.500 0.730
27 Sr 0.500 0.500 0.667
28 Sr 0.500 0.500 0.800
29 Ca 0.000 0.500 0.270
30 Na 0.000 0.500 0.000

Results
V	57.0	A^3/atom
density of states at the Fermi level	1.52	states/eV per atom
symmetry	P4/nbm (125)
calculated total energy	-1.447	eV/atom